Entry 1:
SiSbIr2N: relaxed, GGA-PBEsol.

DOS(E_F): 3.8 states/eV/cell
Uncorrected formation energy: 2.80 eV/atom

Cell lengths 4.828, 4.828, 5.218 Å; angles 90.00, 90.00, 90.00 degrees
Space group P4/mmm (No. 123)
Inequivalent atoms, fractional coordinates:
Si: 0.000 0.000 0.000
Sb: 0.000 0.000 0.500
Ir: 0.000 0.500 0.500
N: 0.500 0.500 0.000

=====

Entry 2:
Sb2TeIrN: relaxed, GGA-PBEsol.

DOS(E_F): 1.6 states/eV/cell
Uncorrected formation energy: 0.76 eV/atom

Cell lengths 4.582, 4.582, 4.477 Å; angles 90.00, 90.00, 90.00 degrees
Space group P4/mmm (No. 123)
Inequivalent atoms, fractional coordinates:
Sb: 0.000 0.500 0.000
Te: 0.000 0.000 0.500
Ir: 0.500 0.500 0.500
N: 0.000 0.000 0.000

=====

Entry 3:
Sc2TcIrN: relaxed, GGA-PBEsol.

DOS(E_F): 3.4 states/eV/cell
Uncorrected formation energy: 1.27 eV/atom

Cell lengths 4.945, 4.945, 4.535 Å; angles 90.00, 90.00, 90.00 degrees
Space group P4/mmm (No. 123)
Inequivalent atoms, fractional coordinates:
Sc: 0.000 0.500 0.000
Tc: 0.000 0.000 0.500
Ir: 0.000 0.000 0.000
N: 0.500 0.500 0.500

=====

Entry 4:
IrSe2N2: relaxed, GGA-PBEsol.

DOS(E_F): 4.2 states/eV/cell
Uncorrected formation energy: 1.52 eV/atom

Cell lengths 5.057, 5.057, 3.602 Å; angles 90.00, 90.00, 90.00 degrees
Space group P4/mmm (No. 123)
Inequivalent atoms, fractional coordinates:
Ir: 0.000 0.000 0.000
Se: 0.000 0.500 0.000
N: 0.000 0.000 0.500
N: 0.500 0.500 0.500

=====

Entry 5:
IrSeN3: relaxed, GGA-PBEsol.

DOS(E_F): 3.2 states/eV/cell
Uncorrected formation energy: 2.19 eV/atom

Cell lengths 3.707, 3.707, 3.707 Å; angles 90.00, 90.00, 90.00 degrees
Space group Pm-3m (No. 221)
Inequivalent atoms, fractional coordinates:
Ir: 0.000 0.000 0.000
Se: 0.500 0.500 0.500
N: 0.000 0.500 0.500

=====

Entry 6:
Ir2SeN: relaxed, GGA-PBEsol.

DOS(E_F): 9.1 states/eV/cell
Uncorrected formation energy: 0.38 eV/atom

Cell lengths 4.718, 4.718, 11.251 Å; angles 90.00, 90.00, 90.00 degrees
Space group I-42d (No. 122)
Inequivalent atoms, fractional coordinates:
Ir: 0.156 0.250 0.125
Se: 0.000 0.000 0.500
N: 0.000 0.000 0.000

=====

Entry 7:
TeIrSeN2: relaxed, GGA-PBEsol.

DOS(E_F): 3.5 states/eV/cell
Uncorrected formation energy: 1.77 eV/atom

Cell lengths 3.674, 3.674, 7.007 Å; angles 90.00, 90.00, 90.00 degrees
Space group P4/mmm (No. 123)
Inequivalent atoms, fractional coordinates:
Te: 0.000 0.000 0.000
Ir: 0.500 0.500 0.000
Se: 0.000 0.000 0.500
N: 0.000 0.500 0.500

=====

Entry 8:
TiIrSe2N: relaxed, GGA-PBEsol.

DOS(E_F): 3.9 states/eV/cell
Uncorrected formation energy: 0.54 eV/atom

Cell lengths 4.935, 4.935, 3.544 Å; angles 90.00, 90.00, 90.00 degrees
Space group P4/mmm (No. 123)
Inequivalent atoms, fractional coordinates:
Ti: 0.000 0.000 0.000
Ir: 0.500 0.500 0.500
Se: 0.000 0.500 0.000
N: 0.000 0.000 0.500

=====

Here are the calculated E_tot numbers, same order: -4.89 -5.44 -7.29 -5.39 -5.66 -7.62 -5.08 -6.34 (eV per atom).